KTeRh3 PBE-GGA optimized geometry; energy relative to the lowest polymorph listed for this composition = 7.06 eV per formula unit; density = 7.2 g cm⁻³; E = -3.32 eV per atom; density of states at the Fermi level = 2.207 states/eV/atom; SG = No. 221; energy relative to the elements, uncorrected = 9.67 eV per formula unit
1.0
4.7971 0.0000 0.0000
0.0000 4.7971 0.0000
0.0000 0.0000 4.7971
K Te Rh
1 1 3
direct
0.0000 0.0000 0.0000 K
0.5000 0.5000 0.5000 Te
0.0000 0.0000 0.5000 Rh
0.0000 0.5000 0.0000 Rh
0.5000 0.0000 0.0000 Rh